Entry 1:
The following is a PBE-GGA calculation of TbPa5S6 after structural relaxation, from Alexandria via LeMat-Bulk.

Summary:
energy	-96.80	eV for the cell shown

```
TbPa5S6
1.0
3.291 -5.906 0.000
3.291 5.906 0.000
-2.352 0.000 6.461
Tb Pa S
1 5 6
direct
0.000 0.000 0.000
0.165 0.835 0.500
0.332 0.668 0.000
0.500 0.500 0.500
0.668 0.332 0.000
0.835 0.165 0.500
0.084 0.416 0.249
0.251 0.251 0.753
0.416 0.084 0.249
0.584 0.916 0.751
0.749 0.749 0.247
0.916 0.584 0.751
```

***

Entry 2:
The following is a PBE-GGA calculation of Tb2PaS3 after structural relaxation, from Alexandria via LeMat-Bulk.

Summary:
energy	-84.47	eV for the cell shown

```
Tb2PaS3
1.0
3.377 -5.845 0.000
3.377 5.845 0.000
-2.258 0.000 6.442
Tb Pa S
4 2 6
direct
0.000 0.000 0.000
0.164 0.836 0.500
0.500 0.500 0.500
0.836 0.164 0.500
0.333 0.667 0.000
0.667 0.333 0.000
0.084 0.418 0.252
0.251 0.251 0.751
0.418 0.084 0.252
0.582 0.916 0.748
0.749 0.749 0.249
0.916 0.582 0.748
```

***

Entry 3:
The following is a PBE-GGA calculation of TbPa2S5 after structural relaxation, from Alexandria via LeMat-Bulk.

Summary:
energy above the lowest structure with this stoichiometry	0.865	eV/f.u.

```
TbPa2S5
1.0
-3.668 3.668 6.325
3.668 -3.668 6.325
3.668 3.668 -6.325
Tb Pa S
2 4 10
direct
0.250 0.250 0.000
0.750 0.750 0.000
0.152 0.652 0.805
0.348 0.152 0.500
0.652 0.848 0.500
0.848 0.348 0.195
0.000 0.000 0.000
0.011 0.196 0.500
0.196 0.696 0.184
0.304 0.489 0.500
0.489 0.989 0.184
0.500 0.500 0.000
0.511 0.011 0.816
0.696 0.511 0.500
0.804 0.304 0.816
0.989 0.804 0.500
```

***

Entry 4:
The following is a PBE-GGA calculation of Tb6PaS8 after structural relaxation, from Alexandria via LeMat-Bulk.

Summary:
energy	-99.52	eV for the cell shown

```
Tb6PaS8
1.0
0.000 5.541 5.541
5.541 0.000 5.541
5.541 5.541 0.000
Tb Pa S
6 1 8
direct
0.000 0.000 0.500
0.000 0.500 0.000
0.000 0.500 0.500
0.500 0.000 0.000
0.500 0.000 0.500
0.500 0.500 0.000
0.000 0.000 0.000
0.250 0.250 0.250
0.252 0.252 0.748
0.252 0.748 0.252
0.252 0.748 0.748
0.748 0.252 0.252
0.748 0.252 0.748
0.748 0.748 0.252
0.750 0.750 0.750
```

***

Entry 5:
The following is a PBE-GGA calculation of Tb4Pa3S8 after structural relaxation, from Alexandria via LeMat-Bulk.

Summary:
energy	-107.90	eV for the cell shown

```
Tb4Pa3S8
1.0
5.505 -5.514 0.000
5.505 5.514 0.000
-5.487 0.000 5.511
Tb Pa S
4 3 8
direct
0.000 0.000 0.000
0.000 0.500 0.000
0.500 0.000 0.000
0.500 0.500 0.500
0.000 0.500 0.500
0.500 0.000 0.500
0.500 0.500 0.000
0.246 0.246 0.499
0.248 0.248 0.993
0.248 0.752 0.500
0.249 0.751 0.000
0.751 0.249 0.000
0.752 0.248 0.500
0.752 0.752 0.007
0.754 0.754 0.501
```

***

Entry 6:
The following is a PBE-GGA calculation of TbPa2S4 after structural relaxation, from Alexandria via LeMat-Bulk.

Summary:
energy	-103.52	eV for the cell shown

```
TbPa2S4
1.0
1.866 -6.389 0.000
1.866 6.389 0.000
0.000 0.000 13.391
Tb Pa S
2 4 8
direct
0.116 0.884 0.750
0.884 0.116 0.250
0.358 0.642 0.564
0.358 0.642 0.936
0.642 0.358 0.064
0.642 0.358 0.436
0.000 0.000 0.000
0.000 0.000 0.500
0.284 0.716 0.130
0.284 0.716 0.370
0.454 0.546 0.750
0.546 0.454 0.250
0.716 0.284 0.630
0.716 0.284 0.870
```